K4PdO4 | Alexandria | GGA-PBE | optimized geometry; crystal system = tetragonal; symmetry = I-42m; total energy = -4.12 eV per atom; raw formation energy = -0.850 eV/atom
1.0
-3.0565 3.0565 6.1792
3.0565 -3.0565 6.1792
3.0565 3.0565 -6.1792
K Pd O
4 1 4
direct
0.0000 0.5000 0.5000
0.2158 0.2158 0.0000
0.5000 0.0000 0.5000
0.7842 0.7842 0.0000
0.5000 0.5000 0.0000
0.2241 0.5486 0.0000
0.4514 0.4514 0.6755
0.5486 0.2241 0.0000
0.7759 0.7759 0.3245

K2PdO | Alexandria | GGA-PBE | optimized geometry; crystal system = trigonal; symmetry = R-3m; total energy = -3.30 eV per atom; raw formation energy = -0.218 eV/atom
1.0
1.7139 0.9895 9.5409
-1.7139 0.9895 9.5409
0.0000 -1.9790 9.5409
K Pd O
2 1 1
direct
0.1102 0.1102 0.1102
0.8898 0.8898 0.8898
0.0000 0.0000 0.0000
0.5000 0.5000 0.5000

KPdO | Alexandria | GGA-PBE | optimized geometry; crystal system = orthorhombic; symmetry = P2_12_12_1; total energy = -4.40 eV per atom; raw formation energy = -0.654 eV/atom
1.0
3.6363 0.0000 0.0000
0.0000 5.4832 0.0000
0.0000 0.0000 12.3280
K Pd O
4 4 4
direct
0.2491 0.2054 0.1621
0.2509 0.7946 0.6621
0.7491 0.2946 0.8379
0.7509 0.7054 0.3379
0.2486 0.7823 0.9229
0.2514 0.2177 0.4229
0.7486 0.7177 0.0771
0.7514 0.2823 0.5771
0.2486 0.7013 0.1501
0.2514 0.2987 0.6501
0.7486 0.7987 0.8499
0.7514 0.2013 0.3499

K3PdO3 | Alexandria | GGA-PBE | optimized geometry; crystal system = hexagonal; symmetry = P6_3/m; energy above the lowest structure with this stoichiometry = 0.000 eV/atom; total energy = -4.28 eV per atom; raw formation energy = -0.945 eV/atom
1.0
7.9636 0.0000 0.0000
-3.9818 6.8966 0.0000
0.0000 0.0000 5.5539
K Pd O
6 2 6
direct
0.1008 0.7346 0.2500
0.2654 0.3662 0.2500
0.3662 0.1008 0.7500
0.6338 0.8992 0.2500
0.7346 0.6338 0.7500
0.8992 0.2654 0.7500
0.3333 0.6667 0.7500
0.6667 0.3333 0.2500
0.1138 0.7082 0.7500
0.2918 0.4055 0.7500
0.4055 0.1138 0.2500
0.5945 0.8862 0.7500
0.7082 0.5945 0.2500
0.8862 0.2918 0.2500